Entry A
DFT (PBE) results for Hf3MnBe after structural relaxation.

abc: 4.730 4.730 4.730
angles: 90.00 90.00 90.00
Fractional coordinates of all 5 atoms:
Hf 0.000 0.000 0.500
Hf 0.000 0.500 0.000
Hf 0.500 0.000 0.000
Mn 0.000 0.000 0.000
Be 0.500 0.500 0.500

spin magnetization: 0.000 μB per atom
SG: Pm-3m (221)

Entry B
DFT (PBE) results for Hf3MnBe after structural relaxation.

abc: 4.566 4.566 4.566
angles: 90.00 90.00 90.00
Fractional coordinates of all 5 atoms:
Hf 0.000 0.000 0.500
Hf 0.000 0.500 0.000
Hf 0.500 0.000 0.000
Mn 0.500 0.500 0.500
Be 0.000 0.000 0.000

spin magnetization: 0.000 μB per atom
SG: Pm-3m (221)

Q: Which of them is the most stable? A: entry A.

Entry A
DFT (PBE) results for HfMnBe2 after structural relaxation.

abc: 5.859 5.859 5.859
angles: 90.00 90.00 90.00
Fractional coordinates of all 16 atoms:
Hf 0.000 0.000 0.000
Hf 0.000 0.500 0.500
Hf 0.500 0.000 0.500
Hf 0.500 0.500 0.000
Mn 0.000 0.000 0.500
Mn 0.000 0.500 0.000
Mn 0.500 0.000 0.000
Mn 0.500 0.500 0.500
Be 0.250 0.250 0.250
Be 0.250 0.250 0.750
Be 0.250 0.750 0.250
Be 0.250 0.750 0.750
Be 0.750 0.250 0.250
Be 0.750 0.250 0.750
Be 0.750 0.750 0.250
Be 0.750 0.750 0.750

spin magnetization: 0.664 μB per atom
SG: Fm-3m (225)

Entry B
DFT (PBE) results for HfMnBe2 after structural relaxation.

abc: 2.938 2.938 5.656
angles: 90.00 90.00 90.00
Fractional coordinates of all 4 atoms:
Hf 0.000 0.000 0.000
Mn 0.000 0.000 0.500
Be 0.500 0.500 0.313
Be 0.500 0.500 0.687

spin magnetization: 0.339 μB per atom
SG: P4/mmm (123)

Q: Which of them is the most stable? A: entry A.

Entry A
DFT (PBE) results for HfMn3Be after structural relaxation.

abc: 4.679 4.679 4.679
angles: 90.00 90.00 90.00
Fractional coordinates of all 5 atoms:
Hf 0.000 0.000 0.000
Mn 0.000 0.000 0.500
Mn 0.000 0.500 0.000
Mn 0.500 0.000 0.000
Be 0.500 0.500 0.500

spin magnetization: 1.752 μB per atom
SG: Pm-3m (221)

Entry B
DFT (PBE) results for HfMn3Be after structural relaxation.

abc: 4.054 4.054 4.054
angles: 90.00 90.00 90.00
Fractional coordinates of all 5 atoms:
Hf 0.000 0.000 0.000
Mn 0.000 0.500 0.500
Mn 0.500 0.000 0.500
Mn 0.500 0.500 0.000
Be 0.500 0.500 0.500

spin magnetization: 1.102 μB per atom
SG: Pm-3m (221)

Q: Which of them is the most stable? A: entry B.

Entry A
DFT (PBE) results for HfBe2Mo after structural relaxation.

abc: 3.938 3.938 16.610
angles: 90.00 90.00 90.00
Fractional coordinates of all 16 atoms:
Hf 0.000 0.000 0.000
Hf 0.000 0.500 0.250
Hf 0.500 0.000 0.750
Hf 0.500 0.500 0.500
Be 0.092 0.250 0.625
Be 0.250 0.592 0.875
Be 0.250 0.908 0.375
Be 0.408 0.250 0.125
Be 0.592 0.750 0.125
Be 0.750 0.092 0.375
Be 0.750 0.408 0.875
Be 0.908 0.750 0.625
Mo 0.000 0.000 0.500
Mo 0.000 0.500 0.750
Mo 0.500 0.000 0.250
Mo 0.500 0.500 0.000

spin magnetization: 0.000 μB per atom
SG: I-42d (122)

Entry B
DFT (PBE) results for HfBe2Mo after structural relaxation.

abc: 6.005 6.005 6.005
angles: 90.00 90.00 90.00
Fractional coordinates of all 16 atoms:
Hf 0.000 0.000 0.000
Hf 0.000 0.500 0.500
Hf 0.500 0.000 0.500
Hf 0.500 0.500 0.000
Be 0.250 0.250 0.250
Be 0.250 0.250 0.750
Be 0.250 0.750 0.250
Be 0.250 0.750 0.750
Be 0.750 0.250 0.250
Be 0.750 0.250 0.750
Be 0.750 0.750 0.250
Be 0.750 0.750 0.750
Mo 0.000 0.000 0.500
Mo 0.000 0.500 0.000
Mo 0.500 0.000 0.000
Mo 0.500 0.500 0.500

spin magnetization: 0.004 μB per atom
SG: Fm-3m (225)

Q: Which of them is the most stable? A: entry B.